[1]
A relaxed RbBaTe2 crystal, computed with PBE.

a b c (Å): 7.449 7.449 10.716
angles (deg): 69.66 69.66 90.00
Sites, in units of the cell vectors:
Rb (0.500, 0.500, 0.000)
Rb (0.250, 0.750, 0.500)
Te (0.375, 0.337, 0.750)
Te (0.875, 0.913, 0.750)
Te (0.087, 0.625, 0.250)
Te (0.663, 0.125, 0.250)
Ba (0.000, 0.000, 0.000)
Ba (0.750, 0.250, 0.500)

Results
Size of the total moment, μB/cell: 2.00
ΔE_f (raw), eV/atom: -0.89

---

[2]
A relaxed ZrTaBe4 crystal, computed with PBE.

a b c (Å): 3.101 3.724 6.487
angles (deg): 90.00 90.00 90.00
Sites, in units of the cell vectors:
Be (0.499, 0.997, 0.838)
Be (0.499, 0.497, 0.322)
Be (0.499, 0.997, 0.158)
Be (0.499, 0.497, 0.674)
Zr (0.999, 0.997, 0.498)
Ta (0.999, 0.497, 0.998)

Results
Size of the total moment, μB/cell: 0.00
Formation energy, eV per atom: -0.17

---

[3]
A relaxed Ca5In3I12 crystal, computed with PBE.

a b c (Å): 16.988 16.988 16.988
angles (deg): 109.47 109.47 109.47
Sites, in units of the cell vectors:
I (0.793, 0.325, 0.914)
I (0.675, 0.207, 0.586)
I (0.411, 0.379, 0.586)
I (0.325, 0.793, 0.414)
I (0.911, 0.086, 0.879)
I (0.914, 0.089, 0.621)
I (0.032, 0.411, 0.825)
I (0.086, 0.911, 0.379)
I (0.675, 0.468, 0.589)
I (0.325, 0.532, 0.411)
I (0.825, 0.911, 0.032)
I (0.175, 0.089, 0.968)
I (0.175, 0.086, 0.707)
I (0.968, 0.589, 0.175)
I (0.379, 0.411, 0.086)
I (0.207, 0.532, 0.621)
I (0.121, 0.707, 0.532)
I (0.589, 0.968, 0.675)
I (0.825, 0.914, 0.293)
I (0.207, 0.675, 0.086)
I (0.914, 0.825, 0.793)
I (0.793, 0.468, 0.379)
I (0.586, 0.879, 0.411)
I (0.879, 0.586, 0.911)
I (0.621, 0.589, 0.914)
I (0.707, 0.586, 0.175)
I (0.086, 0.175, 0.207)
I (0.293, 0.879, 0.968)
I (0.968, 0.379, 0.293)
I (0.293, 0.414, 0.825)
I (0.468, 0.793, 0.879)
I (0.879, 0.293, 0.468)
I (0.589, 0.621, 0.414)
I (0.532, 0.325, 0.911)
I (0.707, 0.121, 0.032)
I (0.089, 0.175, 0.468)
I (0.621, 0.032, 0.207)
I (0.121, 0.414, 0.089)
I (0.468, 0.675, 0.089)
I (0.411, 0.032, 0.325)
I (0.586, 0.707, 0.675)
I (0.414, 0.121, 0.589)
I (0.032, 0.621, 0.707)
I (0.532, 0.207, 0.121)
I (0.911, 0.825, 0.532)
I (0.379, 0.968, 0.793)
I (0.089, 0.914, 0.121)
I (0.414, 0.293, 0.325)
In (0.250, 0.125, 0.375)
In (0.750, 0.375, 0.125)
In (0.375, 0.750, 0.625)
In (0.625, 0.375, 0.750)
In (0.875, 0.750, 0.125)
In (0.750, 0.875, 0.625)
In (0.875, 0.125, 0.250)
In (0.625, 0.250, 0.375)
In (0.375, 0.625, 0.250)
In (0.250, 0.625, 0.875)
In (0.125, 0.875, 0.750)
In (0.125, 0.250, 0.875)
Ca (0.750, 0.625, 0.375)
Ca (0.875, 0.625, 0.750)
Ca (0.000, 0.500, 0.500)
Ca (0.500, 0.500, 0.000)
Ca (0.125, 0.375, 0.250)
Ca (0.000, 0.500, 0.000)
Ca (0.750, 0.125, 0.875)
Ca (0.500, 0.000, 0.500)
Ca (0.875, 0.250, 0.625)
Ca (0.625, 0.750, 0.875)
Ca (0.625, 0.875, 0.250)
Ca (0.250, 0.875, 0.125)
Ca (0.500, 0.000, 0.000)
Ca (0.375, 0.125, 0.750)
Ca (0.000, 0.000, 0.000)
Ca (0.500, 0.500, 0.500)
Ca (0.000, 0.000, 0.500)
Ca (0.125, 0.750, 0.375)
Ca (0.375, 0.250, 0.125)
Ca (0.250, 0.375, 0.625)

Results
Size of the total moment, μB/cell: 0.00
ΔE_f (raw), eV/atom: -1.12